Record 1
Here is a relaxed structure of AlHgP2 from Alexandria. Energies are from PBE. Values from VASP.

The energy above the most stable polymorph in this dataset comes out at 0.152 eV per atom. As for the total magnetization: 0.0 μB per cell. Its space group is P4mm (99).

```
&SYSTEM
  ibrav = 0, nat = 4, ntyp = 3
/
ATOMIC_SPECIES
Hg 200.59 Hg.upf
P 30.97 P.upf
Al 26.98 Al.upf
CELL_PARAMETERS angstrom
3.382 0.000 0.000
0.000 3.382 0.000
0.000 0.000 6.743
ATOMIC_POSITIONS crystal
Hg 0.500 0.500 0.722
P 0.500 0.500 0.106
P 0.000 0.000 0.160
Al 0.000 0.000 0.512
```

Record 2
Here is a relaxed structure of AlHgP2 from Alexandria. Energies are from PBE. Values from VASP.

The energy above the most stable polymorph in this dataset comes out at 0.106 eV per atom. As for the total magnetization: 0.0 μB per cell. Its space group is P2/m (10).

```
&SYSTEM
  ibrav = 0, nat = 4, ntyp = 3
/
ATOMIC_SPECIES
Hg 200.59 Hg.upf
P 30.97 P.upf
Al 26.98 Al.upf
CELL_PARAMETERS angstrom
-3.118 -1.302 1.479
0.134 -3.333 -2.650
2.848 -4.060 2.430
ATOMIC_POSITIONS crystal
Hg 0.500 0.750 0.750
P 0.000 0.522 0.412
P 0.000 0.978 0.088
Al 0.500 0.250 0.250
```

Record 3
Here is a relaxed structure of AlHgP from Alexandria. Energies are from PBE. Values from VASP.

The energy above the most stable polymorph in this dataset comes out at 0.194 eV per atom. As for the total magnetization: 0.0 μB per cell. Its space group is I4mm (107).

```
&SYSTEM
  ibrav = 0, nat = 3, ntyp = 3
/
ATOMIC_SPECIES
Hg 200.59 Hg.upf
P 30.97 P.upf
Al 26.98 Al.upf
CELL_PARAMETERS angstrom
-4.754 2.977 -2.898
-2.048 0.376 -5.960
1.973 -3.597 4.798
ATOMIC_POSITIONS crystal
Hg 0.334 0.334 0.000
P 0.557 0.557 0.000
Al 0.109 0.109 0.000
```

Record 4
Here is a relaxed structure of Al2Hg2P from Alexandria. Energies are from PBE. Values from VASP.

As for the total magnetization: 0.0 μB per cell. Its space group is P4/mbm (127).

```
&SYSTEM
  ibrav = 0, nat = 10, ntyp = 3
/
ATOMIC_SPECIES
P 30.97 P.upf
Hg 200.59 Hg.upf
Al 26.98 Al.upf
CELL_PARAMETERS angstrom
-3.633 4.916 -2.087
-0.728 -2.957 -5.696
-4.152 -2.329 1.740
ATOMIC_POSITIONS crystal
P 0.000 0.000 0.000
P 0.500 0.500 0.000
Hg 0.185 0.685 0.500
Hg 0.685 0.815 0.500
Hg 0.315 0.185 0.500
Hg 0.815 0.315 0.500
Al 0.854 0.646 0.000
Al 0.354 0.854 0.000
Al 0.646 0.146 0.000
Al 0.146 0.354 0.000
```

Record 5
Here is a relaxed structure of AlHgP2 from Alexandria. Energies are from PBE. Values from VASP.

The energy above the most stable polymorph in this dataset comes out at 0.540 eV per atom. As for the total magnetization: 0.0 μB per cell. Its space group is Cmmm (65).

```
&SYSTEM
  ibrav = 0, nat = 4, ntyp = 3
/
ATOMIC_SPECIES
Al 26.98 Al.upf
P 30.97 P.upf
Hg 200.59 Hg.upf
CELL_PARAMETERS angstrom
4.540 -0.001 0.000
1.229 4.370 0.000
0.000 0.000 3.669
ATOMIC_POSITIONS crystal
Al 0.500 0.000 0.500
P 0.500 0.500 0.000
P 0.000 0.000 0.000
Hg 0.000 0.500 0.500
```

Record 6
Here is a relaxed structure of AlHgP2 from Alexandria. Energies are from PBE. Values from VASP.

The energy above the most stable polymorph in this dataset comes out at 0.158 eV per atom. As for the total magnetization: 0.0 μB per cell. Its space group is Pmm2 (25).

```
&SYSTEM
  ibrav = 0, nat = 4, ntyp = 3
/
ATOMIC_SPECIES
Al 26.98 Al.upf
P 30.97 P.upf
Hg 200.59 Hg.upf
CELL_PARAMETERS angstrom
3.498 0.000 0.000
0.000 3.463 0.000
0.000 0.000 6.713
ATOMIC_POSITIONS crystal
Al 0.000 0.000 0.324
P 0.000 0.000 0.966
P 0.500 0.500 0.416
Hg 0.500 0.500 0.793
```

Record 7
Here is a relaxed structure of AlHgP2 from Alexandria. Energies are from PBE. Values from VASP.

The energy above the most stable polymorph in this dataset comes out at 0.294 eV per atom. As for the total magnetization: 0.0 μB per cell. Its space group is C2/m (12).

```
&SYSTEM
  ibrav = 0, nat = 4, ntyp = 3
/
ATOMIC_SPECIES
P 30.97 P.upf
Al 26.98 Al.upf
Hg 200.59 Hg.upf
CELL_PARAMETERS angstrom
4.597 0.032 -0.001
-1.381 4.385 -0.001
1.555 2.136 3.690
ATOMIC_POSITIONS crystal
P 0.000 0.000 0.000
P 0.500 0.500 0.000
Al 0.500 0.000 0.500
Hg 0.000 0.500 0.500
```

Record 8
Here is a relaxed structure of AlHgP2 from Alexandria. Energies are from PBE. Values from VASP.

The energy above the most stable polymorph in this dataset comes out at 0.329 eV per atom. As for the total magnetization: 0.0 μB per cell. Its space group is Cmmm (65).

```
&SYSTEM
  ibrav = 0, nat = 4, ntyp = 3
/
ATOMIC_SPECIES
P 30.97 P.upf
Hg 200.59 Hg.upf
Al 26.98 Al.upf
CELL_PARAMETERS angstrom
-2.861 -0.211 -0.244
1.032 -0.757 -2.579
0.443 -9.428 2.943
ATOMIC_POSITIONS crystal
P 0.000 0.000 0.431
P 0.000 0.000 0.069
Hg 0.500 0.500 0.750
Al 0.500 0.500 0.250
```

Record 9
Here is a relaxed structure of AlHgP2 from Alexandria. Energies are from PBE. Values from VASP.

The energy above the most stable polymorph in this dataset comes out at 0.108 eV per atom. As for the total magnetization: 0.0 μB per cell. Its space group is Pmmm (47).

```
&SYSTEM
  ibrav = 0, nat = 4, ntyp = 3
/
ATOMIC_SPECIES
P 30.97 P.upf
Hg 200.59 Hg.upf
Al 26.98 Al.upf
CELL_PARAMETERS angstrom
3.312 0.000 0.000
0.000 3.289 0.000
0.000 0.000 8.164
ATOMIC_POSITIONS crystal
P 0.000 0.000 0.113
P 0.000 0.000 0.387
Hg 0.500 0.500 0.750
Al 0.500 0.500 0.250
```

Record 10
Here is a relaxed structure of AlHgP2 from Alexandria. Energies are from PBE. Values from VASP.

The energy above the most stable polymorph in this dataset comes out at 0.411 eV per atom. As for the total magnetization: 0.0 μB per cell. Its space group is Cmm2 (35).

```
&SYSTEM
  ibrav = 0, nat = 4, ntyp = 3
/
ATOMIC_SPECIES
P 30.97 P.upf
Al 26.98 Al.upf
Hg 200.59 Hg.upf
CELL_PARAMETERS angstrom
3.109 -0.018 0.000
-1.510 2.717 0.000
0.000 0.000 9.415
ATOMIC_POSITIONS crystal
P 0.000 0.000 0.064
P 0.500 0.500 0.228
Al 0.000 0.000 0.461
Hg 0.500 0.500 0.747
```

Record 11
Here is a relaxed structure of AlHgP from Alexandria. Energies are from PBE. Values from VASP.

The energy above the most stable polymorph in this dataset comes out at 0.485 eV per atom. As for the total magnetization: 0.0 μB per cell. Its space group is Fmm2 (42).

```
&SYSTEM
  ibrav = 0, nat = 3, ntyp = 3
/
ATOMIC_SPECIES
Hg 200.59 Hg.upf
P 30.97 P.upf
Al 26.98 Al.upf
CELL_PARAMETERS angstrom
6.536 -0.019 0.015
5.414 3.097 -0.004
1.121 -0.801 3.012
ATOMIC_POSITIONS crystal
Hg 0.338 0.338 0.662
P 0.640 0.640 0.360
Al 0.022 0.022 0.978
```

Record 12
Here is a relaxed structure of AlHgP from Alexandria. Energies are from PBE. Values from VASP.

The energy above the most stable polymorph in this dataset comes out at 0.173 eV per atom. As for the total magnetization: 0.0 μB per cell. Its space group is P3m1 (156).

```
&SYSTEM
  ibrav = 0, nat = 3, ntyp = 3
/
ATOMIC_SPECIES
Hg 200.59 Hg.upf
P 30.97 P.upf
Al 26.98 Al.upf
CELL_PARAMETERS angstrom
-0.493 1.013 3.635
3.266 -1.614 -1.099
1.912 4.556 -1.010
ATOMIC_POSITIONS crystal
Hg 0.667 0.333 0.330
P 0.333 0.667 0.745
Al 0.000 0.000 0.925
```

| no. | total DFT energy (no corrections) (eV/atom) |
| --- | --- |
| 1 | -3.59 |
| 2 | -3.64 |
| 3 | -3.21 |
| 4 | -2.57 |
| 5 | -3.21 |
| 6 | -3.59 |
| 7 | -3.45 |
| 8 | -3.42 |
| 9 | -3.64 |
| 10 | -3.34 |
| 11 | -2.92 |
| 12 | -3.23 |